Material: Ba8SbPd3I4
Method: DFT, GGA-PBE
State: optimized geometry

Output
For the formation energy without anion corrections, the calculation gives -103 kJ per mole of atoms. For the volume, the calculation gives 43.163 A^3/atom. The final energy comes out at -58.31 eV/cell. The space group is R-3m (166). The size of the total moment comes out at 0.050 μB per atom.

Lattice parameters (Å, degrees): 10.276 10.276 10.276 55.70 55.70 55.70
Positions (direct):
Ba 0.221 0.742 0.742
Ba 0.237 0.237 0.237
Ba 0.258 0.258 0.779
Ba 0.258 0.779 0.258
Ba 0.742 0.221 0.742
Ba 0.742 0.742 0.221
Ba 0.763 0.763 0.763
Ba 0.779 0.258 0.258
Sb 0.500 0.500 0.500
Pd 0.000 0.000 0.500
Pd 0.000 0.500 0.000
Pd 0.500 0.000 0.000
I 0.000 0.000 0.000
I 0.000 0.500 0.500
I 0.500 0.000 0.500
I 0.500 0.500 0.000